(1)
First-principles (meta-GGA SCAN) data for a PBEsol-optimized structure of Nb3FeSe, as listed in Alexandria.

Calculated values
Electronic total energy (eV per atom): -26.61
DOS at the Fermi energy (states/eV/atom): 1.155
Energy relative to the elements, uncorrected (eV/f.u.): 4.547

Cell: 4.6757 4.6757 4.6757 Å, 90.00 90.00 90.00°
Closest atoms and distances in Å follow each position.
Space group Pm-3m (No. 221)
One atom of each set of equivalent atoms:
Nb1 0.0000 0.0000 0.5000 x3  2 Se 2.34
Fe1 0.5000 0.5000 0.5000 x1  12 Nb 3.31
Se1 0.0000 0.0000 0.0000 x1  6 Nb 2.34

=====

(2)
First-principles (meta-GGA SCAN) data for a PBEsol-optimized structure of Nb3FeSe10, as listed in Alexandria.

Calculated values
Electronic total energy (eV per atom): -23.41
DOS at the Fermi energy (states/eV/atom): 0.153
Energy relative to the elements, uncorrected (eV/f.u.): -9.379

Cell: 9.2388 3.4710 10.0233 Å, 90.00 113.70 90.00°
Closest atoms and distances in Å follow each position.
Space group Pm (No. 6)
One atom of each set of equivalent atoms:
Nb1 0.0000 0.0000 0.0000 x1  5 Se 2.42-2.65
Nb2 0.1804 0.5000 0.7132 x1  8 Se 2.64-2.77
Nb3 0.7310 0.0000 0.4416 x1  8 Se 2.62-2.72
Fe1 0.9102 0.5000 0.1839 x1  6 Se 2.38-2.43
Se1 0.1057 0.0000 0.2639 x1  2 Fe 2.40, 1 Nb 2.42
Se2 0.2151 0.5000 0.9962 x1  3 Nb 2.65-2.72
Se3 0.2972 0.0000 0.5827 x1  1 Se 2.38, 2 Nb 2.65
Se4 0.4130 0.0000 0.8420 x1  1 Se 2.38, 2 Nb 2.66
Se5 0.4957 0.5000 0.3155 x1  1 Se 2.38
Se6 0.6190 0.5000 0.5744 x1  1 Se 2.38, 2 Nb 2.64
Se7 0.7216 0.0000 0.1694 x1  2 Fe 2.42, 1 Nb 2.69
Se8 0.7806 0.5000 0.9247 x1  1 Fe 2.38, 2 Nb 2.54
Se9 0.9417 0.5000 0.4361 x1  1 Fe 2.43, 2 Nb 2.62
Se10 0.9660 0.0000 0.7142 x1  4 Nb 2.64-2.75